[1]
Tl2InTe after structural relaxation, computed with PBE-GGA.

Lattice parameters (Å, degrees): 7.079 7.079 7.079 119.43 92.75 117.43
Fractional coordinates of all 8 atoms:
Tl 0.276 0.000 0.776
Tl 0.276 0.500 0.276
Tl 0.724 0.000 0.224
Tl 0.724 0.500 0.724
In 0.219 0.469 0.750
In 0.781 0.531 0.250
Te 0.210 0.960 0.250
Te 0.790 0.040 0.750

Computed properties:
- polymorph energy (0 for the lowest one) (meV per atom) = 0
- final energy (eV for the cell shown) = -22.51

---

[2]
Tl3In2Te4 after structural relaxation, computed with PBE-GGA.

Lattice parameters (Å, degrees): 7.204 17.819 5.164 90.00 90.00 90.00
Fractional coordinates of all 18 atoms:
Tl 0.000 0.000 0.000
Tl 0.250 0.198 0.000
Tl 0.250 0.698 0.500
Tl 0.500 0.500 0.500
Tl 0.750 0.302 0.500
Tl 0.750 0.802 0.000
In 0.153 0.410 0.000
In 0.347 0.910 0.500
In 0.653 0.090 0.500
In 0.847 0.590 0.000
Te 0.246 0.337 0.500
Te 0.248 0.572 0.000
Te 0.252 0.072 0.500
Te 0.254 0.837 0.000
Te 0.746 0.163 0.000
Te 0.748 0.928 0.500
Te 0.752 0.428 0.000
Te 0.754 0.663 0.500

Computed properties:
- final energy (eV for the cell shown) = -55.55

---

[3]
TlIn2Te after structural relaxation, computed with PBE-GGA.

Lattice parameters (Å, degrees): 6.425 6.425 5.640 115.30 115.30 36.63
Fractional coordinates of all 4 atoms:
Tl 0.000 0.000 0.000
In 0.228 0.228 0.729
In 0.772 0.772 0.271
Te 0.500 0.500 0.500

Computed properties:
- polymorph energy (0 for the lowest one) (meV per atom) = 13
- final energy (eV for the cell shown) = -11.43

---

[4]
Tl5In2Te5 after structural relaxation, computed with PBE-GGA.

Lattice parameters (Å, degrees): 8.223 8.223 12.920 107.86 107.86 33.41
Fractional coordinates of all 12 atoms:
Tl 0.000 0.000 0.000
Tl 0.159 0.159 0.559
Tl 0.245 0.245 0.853
Tl 0.755 0.755 0.147
Tl 0.841 0.841 0.441
In 0.460 0.460 0.710
In 0.540 0.540 0.290
Te 0.154 0.154 0.294
Te 0.384 0.384 0.101
Te 0.500 0.500 0.500
Te 0.616 0.616 0.899
Te 0.846 0.846 0.706

Computed properties:
- final energy (eV for the cell shown) = -36.48

---

[5]
TlIn2Te after structural relaxation, computed with PBE-GGA.

Lattice parameters (Å, degrees): 3.219 5.897 6.338 90.00 90.27 90.00
Fractional coordinates of all 4 atoms:
Tl 0.000 0.000 0.000
In 0.361 0.500 0.750
In 0.639 0.500 0.250
Te 0.500 0.000 0.500

Computed properties:
- polymorph energy (0 for the lowest one) (meV per atom) = 71
- final energy (eV for the cell shown) = -11.20

---

[6]
TlIn2Te after structural relaxation, computed with PBE-GGA.

Lattice parameters (Å, degrees): 4.059 4.059 7.334 90.00 90.00 90.08
Fractional coordinates of all 4 atoms:
Tl 0.000 0.000 0.000
In 0.500 0.500 0.267
In 0.500 0.500 0.733
Te 0.000 0.000 0.500

Computed properties:
- polymorph energy (0 for the lowest one) (meV per atom) = 6
- final energy (eV for the cell shown) = -11.46

---

It is found that the E_form (uncorrected) values, taken in the order of the records, are -62, -254, -43, -334, -21, -46 kJ/mol of formula units.
It is found that the spin magnetization values, taken in the order of the records, are 0.000, 0.000, 0.000, 0.000, 0.000, 0.000 μB/atom.